Entry 1:
The following is a PBE-GGA calculation of a relaxed TaSnIr3 crystal, from Alexandria.

a b c (Å): 4.8315 4.8315 4.8315
angles (deg): 90.00 90.00 90.00
Atoms (fractional coordinates):
Ir 0.0000 0.5000 0.0000
Ir 0.0000 0.0000 0.5000
Ir 0.5000 0.0000 0.0000
Sn 0.5000 0.5000 0.5000
Ta 0.0000 0.0000 0.0000

Results
excess energy over the best structure of this formula in the dataset	0	meV/atom
E_form	1218	meV per atom

Entry 2:
The following is a PBE-GGA calculation of a relaxed BaCo3Cu crystal, from Alexandria.

a b c (Å): 4.6268 4.6268 4.6268
angles (deg): 90.00 90.00 90.00
Each line ends with the local moment (μB).
Atoms (fractional coordinates):
Co 0.0000 0.5000 0.0000  1.80
Co 0.0000 0.0000 0.5000  2.05
Co 0.5000 0.0000 0.0000  1.41
Ba 0.5000 0.5000 0.5000  -0.09
Cu 0.0000 0.0000 0.0000  0.17

Results
excess energy over the best structure of this formula in the dataset	0	meV/atom
E_form	916	meV per atom

Entry 3:
The following is a PBE-GGA calculation of a relaxed ScNi2W crystal, from Alexandria.

a b c (Å): 4.9861 4.9861 4.9861
angles (deg): 136.61 136.61 63.04
Atoms (fractional coordinates):
Ni 0.0000 0.0000 0.0000
Ni 0.2500 0.7500 0.5000
Sc 0.5000 0.5000 0.0000
W 0.7500 0.2500 0.5000

Results
excess energy over the best structure of this formula in the dataset	219	meV/atom
E_form	100	meV per atom

Entry 4:
The following is a PBE-GGA calculation of a relaxed KRe2Te crystal, from Alexandria.

a b c (Å): 3.1220 3.1220 9.3333
angles (deg): 90.00 90.00 90.01
Atoms (fractional coordinates):
K 0.5000 0.5000 0.7665
Re 0.0000 0.0000 0.0688
Re 0.5000 0.5000 0.2102
Te 0.0000 0.0000 0.4545

Results
raw formation energy	13.3	kcal/mol of atoms

Entry 5:
The following is a PBE-GGA calculation of a relaxed Sr2Sn6Pb crystal, from Alexandria.

a b c (Å): 6.3858 6.7683 7.3617
angles (deg): 117.37 91.12 90.00
Atoms (fractional coordinates):
Sr 0.1531 0.6575 0.3150
Sr 0.8469 0.3425 0.6850
Sn 0.6472 0.8283 0.1989
Sn 0.6835 0.8061 0.6121
Sn 0.6472 0.3705 0.1989
Sn 0.3528 0.1717 0.8011
Sn 0.3165 0.1939 0.3879
Sn 0.3528 0.6295 0.8011
Pb 0.0000 0.0000 0.0000

Results
E_form	-308	meV per atom

Entry 6:
The following is a PBE-GGA calculation of a relaxed Ba8Ni2Ag crystal, from Alexandria.

a b c (Å): 6.6341 11.6046 9.1570
angles (deg): 129.32 86.59 89.99
Atoms (fractional coordinates):
Ba 0.2511 0.6066 0.2136
Ba 0.7489 0.3934 0.7863
Ba 0.7657 0.8795 0.2327
Ba 0.2878 0.1714 0.3421
Ba 0.2344 0.6474 0.7683
Ba 0.2343 0.1205 0.7673
Ba 0.7122 0.8286 0.6578
Ba 0.7657 0.3526 0.2317
Ni 0.2486 0.3854 0.7702
Ni 0.7514 0.6146 0.2297
Ag 0.0000 0.0000 0.0000

Results
E_form	13	meV per atom

Entry 7:
The following is a PBE-GGA calculation of a relaxed SrYN3 crystal, from Alexandria.

a b c (Å): 4.3009 4.3009 4.3009
angles (deg): 90.00 90.00 90.00
Each line ends with the local moment (μB).
Atoms (fractional coordinates):
Y 0.5000 0.5000 0.5000  -0.01
Sr 0.0000 0.0000 0.0000  0.04
N 0.0000 0.5000 0.0000  0.12
N 0.0000 0.0000 0.5000  0.10
N 0.5000 0.0000 0.0000  0.07

Results
raw formation energy	26.7	kcal/mol of atoms

Entry 8:
The following is a PBE-GGA calculation of a relaxed Ta3Ga crystal, from Alexandria.

a b c (Å): 4.7988 2.8767 5.1487
angles (deg): 90.00 90.00 90.00
Atoms (fractional coordinates):
Ga 0.0000 0.0000 0.9964
Ta 0.0000 0.5000 0.4928
Ta 0.5000 0.5000 0.1674
Ta 0.5000 0.0000 0.6767

Results
E_form	59	meV per atom

Entry 9:
The following is a PBE-GGA calculation of a relaxed TbPmSc2 crystal, from Alexandria.

a b c (Å): 3.4527 3.4527 11.1751
angles (deg): 81.11 81.11 60.00
Atoms (fractional coordinates):
Sc 0.7506 0.7506 0.7481
Sc 0.2494 0.2494 0.2519
Tb 0.5000 0.5000 0.5000
Pm 0.0000 0.0000 0.0000

Results
excess energy over the best structure of this formula in the dataset	9	meV/atom
E_form	61	meV per atom

Entry 10:
The following is a PBE-GGA calculation of a relaxed SnBRh3 crystal, from Alexandria.

a b c (Å): 5.1473 5.1473 7.1928
angles (deg): 69.03 69.03 90.00
Atoms (fractional coordinates):
B 0.0000 0.0000 0.0000
B 0.2500 0.7500 0.5000
Rh 0.1133 0.8699 0.2602
Rh 0.1301 0.8867 0.7398
Rh 0.1301 0.3735 0.7398
Rh 0.6265 0.8699 0.2602
Rh 0.3431 0.3431 0.3139
Rh 0.6569 0.6569 0.6861
Sn 0.5727 0.0727 0.8546
Sn 0.9273 0.4273 0.1454

Results
E_form	143	meV per atom

Entry 11:
The following is a PBE-GGA calculation of a relaxed TlV2RhN crystal, from Alexandria.

a b c (Å): 4.7050 5.1466 4.7050
angles (deg): 90.00 90.00 90.00
Each line ends with the local moment (μB).
Atoms (fractional coordinates):
Tl 0.0000 0.5000 0.0000  -0.02
N 0.5000 0.5000 0.5000  -1.19
Rh 0.0000 0.0000 0.0000  -0.21
V 0.0000 0.0000 0.5000  1.95
V 0.5000 0.0000 0.0000  2.62

Results
raw formation energy	38.3	kcal/mol of atoms

Entry 12:
The following is a PBE-GGA calculation of a relaxed HfCuNi4 crystal, from Alexandria.

a b c (Å): 4.7432 4.7432 4.7432
angles (deg): 60.00 60.00 60.00
Atoms (fractional coordinates):
Ni 0.6257 0.6257 0.1228
Ni 0.6257 0.1228 0.6257
Ni 0.6257 0.6257 0.6257
Ni 0.1228 0.6257 0.6257
Hf 0.2500 0.2500 0.2500
Cu 0.0000 0.0000 0.0000

Results
E_form	-366	meV per atom

no.,E_tot (eV/f.u.)
1,-36.4
2,-22.8
3,-30.4
4,-26.8
5,-33.9
6,-29.6
7,-27.3
8,-38.3
9,-21.8
10,-32.0
11,-28.0
12,-39.4